1.
Hg2AsS4: relaxed, GGA-PBE.

Summary:
Energy above the lowest structure with this stoichiometry in eV per atom: 0.363

Cell lengths 5.0045, 5.0045, 7.3649 Å; angles 70.14, 70.14, 90.00 degrees
Last column: magnetic moment on the atom in μB.
Positions (direct):
S (0.8123, 0.8123, 0.3754)  0.24
S (0.1877, 0.1877, 0.6246)  0.24
S (0.0000, 0.5000, 0.0000)  0.06
S (0.5000, 0.0000, 0.0000)  0.06
As (0.0000, 0.0000, 0.0000)  -0.01
Hg (0.6219, 0.6219, 0.7563)  -0.01
Hg (0.3781, 0.3781, 0.2437)  -0.01

2.
Hg3AsS: relaxed, GGA-PBE.

Summary:
Energy above the lowest structure with this stoichiometry in eV per atom: 0.000

Cell lengths 10.0608, 10.0610, 10.0608 Å; angles 105.04, 105.04, 105.05 degrees
Positions (direct):
Hg (0.8705, 0.0315, 0.7103)
Hg (0.9685, 0.2897, 0.1295)
Hg (0.9438, 0.3775, 0.5605)
Hg (0.6177, 0.1938, 0.2492)
Hg (0.7508, 0.3823, 0.8062)
Hg (0.4395, 0.0562, 0.6225)
Hg (0.6225, 0.4395, 0.0562)
Hg (0.2897, 0.1295, 0.9685)
Hg (0.8062, 0.7508, 0.3823)
Hg (0.1938, 0.2492, 0.6177)
Hg (0.7103, 0.8705, 0.0315)
Hg (0.3775, 0.5605, 0.9438)
Hg (0.5605, 0.9438, 0.3775)
Hg (0.2492, 0.6177, 0.1938)
Hg (0.3823, 0.8062, 0.7508)
Hg (0.0562, 0.6225, 0.4395)
Hg (0.0315, 0.7103, 0.8705)
Hg (0.1295, 0.9685, 0.2897)
As (0.7853, 0.5575, 0.6602)
As (0.4425, 0.3398, 0.2146)
As (0.3398, 0.2146, 0.4425)
As (0.6602, 0.7854, 0.5575)
As (0.5575, 0.6602, 0.7854)
As (0.2147, 0.4425, 0.3398)
S (0.8194, 0.0912, 0.2570)
S (0.7430, 0.1806, 0.9089)
S (0.9089, 0.7430, 0.1807)
S (0.0911, 0.2570, 0.8193)
S (0.2570, 0.8194, 0.0911)
S (0.1806, 0.9088, 0.7430)

3.
HgAsS2: relaxed, GGA-PBE.

Summary:
Energy above the lowest structure with this stoichiometry in eV per atom: 0.425

Cell lengths 8.0096, 8.0096, 8.0096 Å; angles 28.06, 28.06, 28.06 degrees
Positions (direct):
S (0.8995, 0.8995, 0.8995)
S (0.1005, 0.1005, 0.1005)
As (0.0000, 0.0000, 0.0000)
Hg (0.5000, 0.5000, 0.5000)

4.
HgAsS2: relaxed, GGA-PBE.

Summary:
Energy above the lowest structure with this stoichiometry in eV per atom: 0.261

Cell lengths 5.4488, 5.4488, 7.9673 Å; angles 70.00, 70.00, 90.00 degrees
Positions (direct):
S (0.5942, 0.1250, 0.2500)
S (0.1558, 0.6250, 0.2500)
S (0.3750, 0.4058, 0.7500)
S (0.8750, 0.8442, 0.7500)
As (0.5000, 0.5000, 0.0000)
As (0.2500, 0.7500, 0.5000)
Hg (0.0000, 0.0000, 0.0000)
Hg (0.7500, 0.2500, 0.5000)

5.
Hg2AsS5: relaxed, GGA-PBE.

Cell lengths 5.5914, 7.0719, 11.3051 Å; angles 90.00, 90.00, 113.29 degrees
Positions (direct):
Hg (0.8365, 0.6730, 0.4319)
Hg (0.8365, 0.6730, 0.0681)
Hg (0.1635, 0.3270, 0.5681)
Hg (0.1635, 0.3270, 0.9319)
As (0.7975, 0.5950, 0.7500)
As (0.2025, 0.4050, 0.2500)
S (0.9338, 0.8675, 0.8817)
S (0.9338, 0.8675, 0.6183)
S (0.3275, 0.6550, 0.3964)
S (0.3275, 0.6550, 0.1036)
S (0.7298, 0.4596, 0.2500)
S (0.2702, 0.5404, 0.7500)
S (0.6725, 0.3450, 0.6036)
S (0.6725, 0.3450, 0.8964)
S (0.0662, 0.1325, 0.1183)
S (0.0662, 0.1325, 0.3817)

6.
HgAsS4: relaxed, GGA-PBE.

Summary:
Energy above the lowest structure with this stoichiometry in eV per atom: 0.000

Cell lengths 7.0520, 7.7591, 11.3349 Å; angles 95.49, 92.28, 142.43 degrees
Positions (direct):
Hg (0.3772, 0.1272, 0.7544)
Hg (0.6228, 0.8728, 0.2456)
As (0.2532, 0.5032, 0.5063)
As (0.7468, 0.4968, 0.4937)
S (0.1974, 0.8719, 0.9414)
S (0.7440, 0.5695, 0.9414)
S (0.2021, 0.6696, 0.3771)
S (0.7979, 0.3304, 0.6229)
S (0.8250, 0.7925, 0.6229)
S (0.2560, 0.4305, 0.0586)
S (0.1750, 0.2075, 0.3771)
S (0.8026, 0.1281, 0.0586)

| no. | raw formation energy (eV/f.u.) | DOS at the Fermi energy (states/eV/atom) | raw total energy (eV for the cell shown) |
| --- | --- | --- | --- |
| 1 | 2.72 | 0.699 | -19.05 |
| 2 | 0.54 | 0.403 | -54.85 |
| 3 | 1.34 | 0.557 | -11.87 |
| 4 | 0.68 | 0.322 | -25.06 |
| 5 | 2.04 | 0.431 | -47.70 |
| 6 | 0.87 | 0.413 | -41.18 |